VASP calculation (PBE+U) on Li4MnCrW2O12 after structural relaxation.

Calculated values
Spin magnetization   4.997 μB per formula unit
Crystal system   triclinic
Space-group type   P1 (1)
E   -6.716 eV per atom

POSCAR file:
```
Li4MnCrW2O12
1.0
-4.6680 -0.7676 1.8673
-1.1155 -3.2840 -4.0877
2.3839 -6.0262 3.5331
Li O W Mn Cr
4 12 2 1 1
Direct
0.4992 0.0753 0.7833 Li
0.4994 0.0688 0.2859 Li
0.9967 0.5705 0.2856 Li
0.9984 0.5656 0.7838 Li
0.3035 0.8029 0.9329 O
0.1977 0.3012 0.9366 O
0.6905 0.1786 0.0532 O
0.1180 0.9863 0.2462 O
0.1904 0.6805 0.5532 O
0.3152 0.1812 0.5502 O
0.6976 0.7949 0.4329 O
0.3818 0.4855 0.2481 O
0.8827 0.9843 0.7474 O
0.8130 0.6778 0.0503 O
0.8031 0.2963 0.4312 O
0.6201 0.4813 0.7460 O
0.4961 0.5068 0.9987 W
0.0009 0.9992 0.5018 W
0.5012 0.5003 0.4999 Mn
0.9948 0.0050 0.0039 Cr
```